1.
VASP calculation (PBE-GGA) on crystalline K2ZnCO4 at its relaxed geometry.

## Properties
Fermi-level density of states in states/eV per atom: 0.000
Formation energy from raw total energies in eV/atom: -1.3500
SG: Fddd (70)

Cell lengths 4.8325, 5.9235, 10.3651 Å; angles 84.54, 76.52, 65.93 degrees
Closest atoms and distances in Å follow each position.
Element x y z (fractional)
K 0.1772 0.0000 0.6456  4 O 2.85-2.97
K 0.8228 0.0000 0.3544  4 O 2.85-2.97
K 0.5728 0.5000 0.8544  4 O 2.85-2.97
K 0.9272 0.5000 0.1456  4 O 2.85-2.97
Zn 0.7500 0.5000 0.5000  4 O 1.96
Zn 0.0000 0.0000 0.0000  4 O 1.96
C 0.2500 0.5000 0.5000  4 O 1.43
C 0.5000 0.0000 0.0000  4 O 1.43
O 0.3632 0.8468 0.0802  1 C 1.43
O 0.2901 0.1532 0.9198  1 C 1.43
O 0.7901 0.8468 0.9198  1 C 1.43
O 0.5566 0.1532 0.0802  1 C 1.43
O 0.3868 0.6532 0.4198  1 C 1.43
O 0.4599 0.3468 0.5802  1 C 1.43
O 0.9599 0.6532 0.5802  1 C 1.43
O 0.1934 0.3468 0.4198  1 C 1.43


2.
VASP calculation (PBE-GGA) on crystalline Sr2TmMgAu6 at its relaxed geometry.

## Properties
Fermi-level density of states in states/eV per atom: 0.448
E_form in meV/atom: -629
SG: P-1 (2)

Cell lengths 8.8271, 5.7880, 7.9960 Å; angles 79.01, 51.04, 110.52 degrees
Closest atoms and distances in Å follow each position.
Element x y z (fractional)
Sr 0.1948 0.7250 0.5908  6 Au 3.03-3.31
Sr 0.8052 0.2750 0.4092  6 Au 3.03-3.31
Tm 0.5000 0.5000 0.0000  6 Au 2.80-3.12
Mg 0.0000 0.0000 0.0000  4 Au 2.75-2.84
Au 0.3327 0.8722 0.9932  2 Au 2.78-2.89, 1 Tm 3.02, 2 Sr 3.03-3.09
Au 0.0424 0.1341 0.6062  3 Au 2.76-2.95, 1 Mg 2.84, 1 Sr 3.09
Au 0.5605 0.4530 0.3065  1 Mg 2.75, 1 Tm 2.80, 2 Au 2.81-2.95
Au 0.6673 0.1278 0.0068  2 Au 2.78-2.89, 1 Tm 3.02, 2 Sr 3.03-3.09
Au 0.9576 0.8659 0.3938  3 Au 2.76-2.95, 1 Mg 2.84, 1 Sr 3.09
Au 0.4395 0.5470 0.6935  1 Mg 2.75, 1 Tm 2.80, 2 Au 2.81-2.95


3.
VASP calculation (PBE-GGA) on crystalline HoScGe2 at its relaxed geometry.

## Properties
Fermi-level density of states in states/eV per atom: 0.635
Relative energy among the computed polymorphs in meV per atom: 9
E_form in meV/atom: -817
SG: Pmc2_1 (26)

Cell lengths 3.8665, 5.6094, 7.7266 Å; angles 90.00, 90.00, 90.00 degrees
Closest atoms and distances in Å follow each position.
Element x y z (fractional)
Ho 0.0000 0.1302 0.6811  7 Ge 2.84-3.18
Ho 0.0000 0.8698 0.1811  7 Ge 2.84-3.18
Sc 0.5000 0.3705 0.3185  7 Ge 2.87-3.16
Sc 0.5000 0.6295 0.8185  7 Ge 2.87-3.16
Ge 0.0000 0.6002 0.5426  2 Ge 2.63, 1 Ho 2.84, 4 Sc 2.88-2.90
Ge 0.0000 0.3998 0.0426  2 Ge 2.63, 1 Ho 2.84, 4 Sc 2.88-2.90
Ge 0.5000 0.8971 0.4579  2 Ge 2.63, 1 Sc 2.87, 4 Ho 2.89-2.90
Ge 0.5000 0.1029 0.9579  2 Ge 2.63, 1 Sc 2.87, 4 Ho 2.89-2.90


4.
VASP calculation (PBE-GGA) on crystalline Pr4NiTe3 at its relaxed geometry.

## Properties
Fermi-level density of states in states/eV per atom: 0.757
Formation energy from raw total energies in eV/atom: -1.1108
SG: Cmmm (65)

Cell lengths 4.3209, 7.8168, 7.8168 Å; angles 108.46, 90.00, 90.00 degrees
Closest atoms and distances in Å follow each position.
Element x y z (fractional)
Pr 0.0000 0.2140 0.2140  2 Ni 2.91, 2 Te 3.19
Pr 0.5000 0.7600 0.2400  1 Ni 3.04, 5 Te 3.15-3.30
Pr 0.0000 0.7860 0.7860  2 Ni 2.91, 2 Te 3.19
Pr 0.5000 0.2400 0.7600  1 Ni 3.04, 5 Te 3.15-3.30
Ni 0.5000 0.0000 0.0000  6 Pr 2.91-3.04
Te 0.0000 0.0000 0.5000  6 Pr 3.15-3.19
Te 0.5000 0.5000 0.5000  6 Pr 3.30-3.39
Te 0.0000 0.5000 0.0000  6 Pr 3.15-3.19


5.
VASP calculation (PBE-GGA) on crystalline BaCoTe2 at its relaxed geometry.

## Properties
Fermi-level density of states in states/eV per atom: 1.639
Formation energy from raw total energies in eV/atom: -0.0440
SG: I-4m2 (119)

Cell lengths 6.4912, 6.4912, 6.4912 Å; angles 137.92, 137.92, 61.02 degrees
Closest atoms and distances in Å follow each position.
Element x y z (fractional)
Ba 0.5000 0.5000 0.0000  8 Te 3.30-3.64, 4 Co 3.64
Co 0.7500 0.2500 0.5000  8 Te 3.30-3.64, 4 Ba 3.64
Te 0.0000 0.0000 0.0000  4 Ba 3.30, 4 Te 3.64, 4 Co 3.64
Te 0.2500 0.7500 0.5000  4 Co 3.30, 4 Te 3.64, 4 Ba 3.64


6.
VASP calculation (PBE-GGA) on crystalline Sr3LaC at its relaxed geometry.

## Properties
Fermi-level density of states in states/eV per atom: 1.258
Relative energy among the computed polymorphs in meV per atom: 1492
E_form in meV/atom: 2015
SG: Pm-3m (221)

Cell lengths 6.6752, 6.6752, 6.6752 Å; angles 90.00, 90.00, 90.00 degrees
Closest atoms and distances in Å follow each position.
Element x y z (fractional)
Sr 0.0000 0.5000 0.0000  2 La 3.34
Sr 0.0000 0.0000 0.5000  2 La 3.34
Sr 0.5000 0.0000 0.0000  2 La 3.34
C 0.5000 0.5000 0.5000  12 Sr 4.72
La 0.0000 0.0000 0.0000  6 Sr 3.34


7.
VASP calculation (PBE-GGA) on crystalline Mg11In9Rh4 at its relaxed geometry.

## Properties
Fermi-level density of states in states/eV per atom: 0.397
E_form in meV/atom: -269
SG: Cmmm (65)

Cell lengths 3.5892, 12.1800, 12.1800 Å; angles 111.47, 90.00, 90.00 degrees
Closest atoms and distances in Å follow each position.
Element x y z (fractional)
Mg 0.0000 0.5799 0.9168  2 Rh 2.71, 4 In 2.95-2.96
Mg 0.0000 0.4201 0.0832  2 Rh 2.71, 4 In 2.95-2.96
Mg 0.0000 0.9168 0.5799  2 Rh 2.71, 4 In 2.95-2.96
Mg 0.0000 0.0832 0.4201  2 Rh 2.71, 4 In 2.95-2.96
Mg 0.0000 0.6277 0.3723  4 Rh 2.75
Mg 0.0000 0.3723 0.6277  4 Rh 2.75
Mg 0.0000 0.8405 0.1595  8 In 3.13-3.18, 3 Mg 3.21-3.46
Mg 0.0000 0.1595 0.8405  8 In 3.13-3.18, 3 Mg 3.21-3.46
Mg 0.0000 0.0000 0.0000  8 In 3.10, 2 Mg 3.21
Mg 0.0000 0.6896 0.6896  4 Rh 2.72
Mg 0.0000 0.3104 0.3104  4 Rh 2.72
In 0.5000 0.6269 0.1496  1 Rh 2.90, 6 Mg 2.95-3.23, 1 In 3.07
In 0.5000 0.3731 0.8504  1 Rh 2.90, 6 Mg 2.95-3.23, 1 In 3.07
In 0.5000 0.1496 0.6269  1 Rh 2.90, 6 Mg 2.95-3.23, 1 In 3.07
In 0.5000 0.8504 0.3731  1 Rh 2.90, 6 Mg 2.95-3.23, 1 In 3.07
In 0.5000 0.7769 0.9292  1 Rh 2.88, 6 Mg 2.96-3.18, 1 In 3.07
In 0.5000 0.2231 0.0708  1 Rh 2.88, 6 Mg 2.96-3.18, 1 In 3.07
In 0.5000 0.9292 0.7769  1 Rh 2.88, 6 Mg 2.96-3.18, 1 In 3.07
In 0.5000 0.0708 0.2231  1 Rh 2.88, 6 Mg 2.96-3.18, 1 In 3.07
In 0.5000 0.5000 0.5000  4 Rh 2.78
Rh 0.5000 0.5485 0.7417  6 Mg 2.71-2.75, 3 In 2.78-2.90
Rh 0.5000 0.4515 0.2583  6 Mg 2.71-2.75, 3 In 2.78-2.90
Rh 0.5000 0.7417 0.5485  6 Mg 2.71-2.75, 3 In 2.78-2.90
Rh 0.5000 0.2583 0.4515  6 Mg 2.71-2.75, 3 In 2.78-2.90


8.
VASP calculation (PBE-GGA) on crystalline LiTcHgPd2 at its relaxed geometry.

## Properties
Fermi-level density of states in states/eV per atom: 1.091
E_form in meV/atom: 928
SG: P4/mmm (123)

Cell lengths 4.7670, 4.8242, 4.7670 Å; angles 90.00, 90.00, 90.00 degrees
Closest atoms and distances in Å follow each position.
Element x y z (fractional)
Li 0.0000 0.5000 0.0000  2 Tc 2.41
Hg 0.5000 0.5000 0.5000  4 Li 3.37, 8 Pd 3.39
Pd 0.0000 0.0000 0.5000  2 Tc 2.38
Pd 0.5000 0.0000 0.0000  2 Tc 2.38
Tc 0.0000 0.0000 0.0000  4 Pd 2.38, 2 Li 2.41